Record 1
{"formula": "Pm3Zn8Cu3", "functional": "GGA-PBE", "state": "optimized geometry", "ef_mev_per_atom": -282, "volume_a3_per_atom": 18.103, "density_g_cm3": 7.5, "total_magnetization_mub_per_fu": 0.00, "e_tot_ev_per_atom": -2.9054, "cell": [[-2.2118, 4.4102, 6.4955], [2.2118, -4.4102, 6.4955], [2.2118, 4.4102, -6.4955]], "species": ["Pm", "Pm", "Pm", "Zn", "Zn", "Zn", "Zn", "Zn", "Zn", "Zn", "Zn", "Cu", "Cu", "Cu"], "fractional_positions": [[0.0000, 0.0000, 0.0000], [0.2981, 0.2981, 0.0000], [0.7019, 0.7019, 0.0000], [0.0146, 0.6587, 0.3559], [0.1626, 0.8722, 0.2904], [0.3028, 0.6587, 0.6441], [0.4181, 0.1278, 0.2904], [0.5819, 0.8722, 0.7096], [0.6972, 0.3413, 0.3559], [0.8374, 0.1278, 0.7096], [0.9854, 0.3413, 0.6441], [0.3175, 0.5000, 0.8175], [0.5000, 0.0000, 0.5000], [0.6825, 0.5000, 0.1825]]}


Record 2
{"formula": "Ac2GaS4", "functional": "GGA-PBE", "state": "optimized geometry", "volume_a3_per_atom": 25.126, "density_g_cm3": 6.2, "total_magnetization_mub_per_fu": 0.00, "e_tot_ev_per_atom": -5.5410, "cell": [[6.6950, 0.0000, 0.0000], [0.0000, 6.5295, 0.0000], [-2.6898, 0.0000, 8.0469]], "species": ["Ac", "Ac", "Ac", "Ac", "Ga", "Ga", "S", "S", "S", "S", "S", "S", "S", "S"], "fractional_positions": [[0.2437, 0.2500, 0.0638], [0.2522, 0.2500, 0.5596], [0.7478, 0.7500, 0.4404], [0.7563, 0.7500, 0.9362], [0.2551, 0.7500, 0.8130], [0.7449, 0.2500, 0.1870], [0.0057, 0.0055, 0.7513], [0.0057, 0.4945, 0.7513], [0.4023, 0.7500, 0.5874], [0.4073, 0.7500, 0.1140], [0.5927, 0.2500, 0.8860], [0.5977, 0.2500, 0.4126], [0.9943, 0.5055, 0.2487], [0.9943, 0.9945, 0.2487]]}


Record 3
{"formula": "In2RuSe", "functional": "GGA-PBE", "state": "optimized geometry", "volume_a3_per_atom": 22.428, "density_g_cm3": 7.6, "total_magnetization_mub_per_fu": 0.00, "e_tot_ev_per_atom": -4.6475, "cell": [[5.0099, -1.5648, 0.0000], [5.0099, 1.5648, 0.0000], [-2.4437, 0.0000, 5.7221]], "species": ["In", "In", "Ru", "Se"], "fractional_positions": [[0.0000, 0.0000, 0.0000], [0.1717, 0.1717, 0.6236], [0.7342, 0.7342, 0.0245], [0.3443, 0.3443, 0.3489]]}


Record 4
{"formula": "Na2AcAu2", "functional": "GGA-PBE", "state": "optimized geometry", "ef_mev_per_atom": -453, "volume_a3_per_atom": 30.205, "density_g_cm3": 7.3, "total_magnetization_mub_per_fu": 0.00, "e_tot_ev_per_atom": -3.1134, "de_polymorph_ev_per_atom": 0.000, "cell": [[4.6698, 0.0000, 0.0000], [-2.3349, 4.0441, 0.0000], [0.0000, 0.0000, 7.9969]], "species": ["Na", "Na", "Ac", "Au", "Au"], "fractional_positions": [[0.3333, 0.6667, 0.1176], [0.6667, 0.3333, 0.8824], [0.0000, 0.0000, 0.5000], [0.3333, 0.6667, 0.7152], [0.6667, 0.3333, 0.2848]]}